1.
{"formula": "Sr2Ca6TiMn7O24", "functional": "PBEsol", "state": "optimized geometry", "final_energy_ev_per_atom": -7.8479, "e_form_raw_ev_per_fu": -94.801, "crystal_system": "orthorhombic", "sg": "Amm2", "lattice": [[7.477, 0.000, 0.000], [0.000, 5.314, 5.368], [0.000, -5.314, 5.368]], "species": ["Sr", "Sr", "Ca", "Ca", "Ca", "Ca", "Ca", "Ca", "Ti", "Mn", "Mn", "Mn", "Mn", "Mn", "Mn", "Mn", "O", "O", "O", "O", "O", "O", "O", "O", "O", "O", "O", "O", "O", "O", "O", "O", "O", "O", "O", "O", "O", "O", "O", "O"], "fractional_positions": [[0.248, 0.000, 0.000], [0.752, 0.000, 0.000], [0.248, 0.490, 0.989], [0.248, 0.989, 0.490], [0.252, 0.490, 0.490], [0.748, 0.490, 0.490], [0.752, 0.490, 0.989], [0.752, 0.989, 0.490], [0.500, 0.744, 0.744], [0.000, 0.246, 0.246], [0.000, 0.247, 0.741], [0.000, 0.741, 0.247], [0.000, 0.744, 0.744], [0.500, 0.246, 0.246], [0.500, 0.248, 0.743], [0.500, 0.743, 0.248], [0.000, 0.008, 0.265], [0.000, 0.008, 0.754], [0.000, 0.265, 0.008], [0.000, 0.268, 0.506], [0.000, 0.506, 0.268], [0.000, 0.506, 0.766], [0.000, 0.754, 0.008], [0.000, 0.766, 0.506], [0.245, 0.752, 0.752], [0.249, 0.264, 0.760], [0.249, 0.760, 0.264], [0.250, 0.261, 0.261], [0.500, 0.006, 0.263], [0.500, 0.008, 0.748], [0.500, 0.263, 0.006], [0.500, 0.265, 0.505], [0.500, 0.498, 0.754], [0.500, 0.505, 0.265], [0.500, 0.748, 0.008], [0.500, 0.754, 0.498], [0.750, 0.261, 0.261], [0.751, 0.264, 0.760], [0.751, 0.760, 0.264], [0.755, 0.752, 0.752]]}

=====

2.
{"formula": "Sr7CaTi5Mn3O24", "functional": "PBEsol", "state": "optimized geometry", "final_energy_ev_per_atom": -8.1543, "e_form_raw_ev_per_fu": -114.278, "crystal_system": "monoclinic", "sg": "Cm", "lattice": [[5.463, -5.439, 0.000], [5.463, 5.439, 0.000], [-0.006, 0.000, 7.662]], "species": ["Sr", "Sr", "Sr", "Sr", "Sr", "Sr", "Sr", "Ca", "Ti", "Ti", "Ti", "Ti", "Ti", "Mn", "Mn", "Mn", "O", "O", "O", "O", "O", "O", "O", "O", "O", "O", "O", "O", "O", "O", "O", "O", "O", "O", "O", "O", "O", "O", "O", "O"], "fractional_positions": [[0.000, 0.000, 0.000], [0.000, 0.000, 0.491], [0.001, 0.498, 0.000], [0.497, 0.999, 0.493], [0.498, 0.001, 0.000], [0.498, 0.498, 0.492], [0.999, 0.497, 0.493], [0.495, 0.495, 0.002], [0.249, 0.249, 0.749], [0.250, 0.748, 0.748], [0.746, 0.746, 0.245], [0.748, 0.250, 0.748], [0.748, 0.748, 0.746], [0.248, 0.248, 0.247], [0.249, 0.746, 0.245], [0.746, 0.249, 0.245], [0.000, 0.251, 0.729], [0.000, 0.750, 0.763], [0.002, 0.253, 0.266], [0.005, 0.749, 0.227], [0.232, 0.232, 0.001], [0.232, 0.731, 0.489], [0.251, 0.000, 0.729], [0.253, 0.002, 0.266], [0.254, 0.500, 0.765], [0.258, 0.501, 0.216], [0.267, 0.766, 0.000], [0.268, 0.268, 0.489], [0.495, 0.750, 0.262], [0.499, 0.751, 0.726], [0.500, 0.254, 0.765], [0.501, 0.258, 0.216], [0.726, 0.726, 0.996], [0.731, 0.232, 0.489], [0.749, 0.005, 0.227], [0.750, 0.000, 0.763], [0.750, 0.495, 0.262], [0.751, 0.499, 0.726], [0.765, 0.765, 0.493], [0.766, 0.267, 0.000]]}

=====

3.
{"formula": "SrCaTiMnO6", "functional": "PBEsol", "state": "optimized geometry", "final_energy_ev_per_atom": -8.1116, "e_form_raw_ev_per_fu": -27.563, "crystal_system": "monoclinic", "sg": "P2_1", "lattice": [[5.381, 0.000, 0.000], [0.000, 5.370, 0.000], [-0.007, 0.000, 7.590]], "species": ["Sr", "Sr", "Ca", "Ca", "Ti", "Ti", "Mn", "Mn", "O", "O", "O", "O", "O", "O", "O", "O", "O", "O", "O", "O"], "fractional_positions": [[0.247, 0.000, 0.000], [0.753, 0.500, 0.000], [0.253, 0.966, 0.500], [0.747, 0.466, 0.500], [0.248, 0.487, 0.745], [0.752, 0.987, 0.255], [0.248, 0.487, 0.254], [0.752, 0.987, 0.746], [0.016, 0.762, 0.769], [0.024, 0.754, 0.232], [0.192, 0.497, 0.496], [0.291, 0.487, 0.004], [0.474, 0.221, 0.283], [0.484, 0.213, 0.717], [0.516, 0.713, 0.283], [0.526, 0.721, 0.717], [0.709, 0.987, 0.996], [0.808, 0.997, 0.504], [0.976, 0.254, 0.768], [0.984, 0.262, 0.231]]}

=====

4.
{"formula": "Sr7CaTi3Mn5O24", "functional": "PBEsol", "state": "optimized geometry", "final_energy_ev_per_atom": -7.9956, "e_form_raw_ev_per_fu": -105.054, "crystal_system": "triclinic", "sg": "P1", "lattice": [[7.598, 0.000, 0.000], [-0.001, 7.664, 0.000], [0.000, -0.053, 7.664]], "species": ["Sr", "Sr", "Sr", "Sr", "Sr", "Sr", "Sr", "Ca", "Ti", "Ti", "Ti", "Mn", "Mn", "Mn", "Mn", "Mn", "O", "O", "O", "O", "O", "O", "O", "O", "O", "O", "O", "O", "O", "O", "O", "O", "O", "O", "O", "O", "O", "O", "O", "O"], "fractional_positions": [[0.000, 0.000, 0.000], [0.000, 0.496, 0.496], [0.002, 0.999, 0.497], [0.507, 0.001, 0.001], [0.507, 0.496, 0.496], [0.511, 0.497, 0.000], [0.511, 0.998, 0.498], [0.003, 0.500, 0.996], [0.253, 0.748, 0.749], [0.255, 0.249, 0.749], [0.255, 0.747, 0.248], [0.255, 0.249, 0.247], [0.754, 0.253, 0.243], [0.754, 0.751, 0.746], [0.758, 0.253, 0.746], [0.758, 0.750, 0.244], [0.000, 0.230, 0.767], [0.000, 0.730, 0.266], [0.003, 0.276, 0.221], [0.234, 0.497, 0.753], [0.234, 0.744, 0.999], [0.237, 0.003, 0.248], [0.237, 0.249, 0.494], [0.272, 0.248, 0.003], [0.272, 0.493, 0.248], [0.272, 0.746, 0.499], [0.272, 0.998, 0.750], [0.505, 0.227, 0.269], [0.511, 0.266, 0.733], [0.511, 0.729, 0.768], [0.511, 0.763, 0.230], [0.733, 0.243, 0.002], [0.733, 0.494, 0.254], [0.734, 0.742, 0.502], [0.734, 0.994, 0.756], [0.776, 0.244, 0.502], [0.776, 0.995, 0.252], [0.784, 0.494, 0.760], [0.784, 0.735, 0.002], [0.999, 0.766, 0.731]]}

=====

5.
{"formula": "SrCaTiMnO6", "functional": "PBEsol", "state": "optimized geometry", "final_energy_ev_per_atom": -8.0892, "e_form_raw_ev_per_fu": -27.340, "crystal_system": "orthorhombic", "sg": "Pma2", "lattice": [[5.384, 0.000, 0.000], [0.000, 5.422, 0.000], [0.000, 0.000, 7.560]], "species": ["Sr", "Sr", "Ca", "Ca", "Ti", "Ti", "Mn", "Mn", "O", "O", "O", "O", "O", "O", "O", "O", "O", "O", "O", "O"], "fractional_positions": [[0.250, 0.246, 0.000], [0.750, 0.754, 0.000], [0.250, 0.255, 0.489], [0.750, 0.745, 0.489], [0.250, 0.752, 0.740], [0.750, 0.248, 0.740], [0.250, 0.752, 0.249], [0.750, 0.248, 0.249], [0.000, 0.000, 0.218], [0.000, 0.000, 0.770], [0.000, 0.500, 0.289], [0.000, 0.500, 0.709], [0.250, 0.701, 0.003], [0.250, 0.818, 0.490], [0.500, 0.000, 0.218], [0.500, 0.000, 0.770], [0.500, 0.500, 0.289], [0.500, 0.500, 0.709], [0.750, 0.182, 0.490], [0.750, 0.299, 0.003]]}

=====

6.
{"formula": "SrCaTiMnO6", "functional": "PBEsol", "state": "optimized geometry", "final_energy_ev_per_atom": -8.0750, "e_form_raw_ev_per_fu": -27.197, "crystal_system": "tetragonal", "sg": "P4mm", "lattice": [[3.814, 0.000, 0.000], [0.000, 3.814, 0.000], [0.000, 0.000, 7.669]], "species": ["Sr", "Ca", "Ti", "Mn", "O", "O", "O", "O", "O", "O"], "fractional_positions": [[0.000, 0.000, 0.000], [0.000, 0.000, 0.520], [0.500, 0.500, 0.261], [0.500, 0.500, 0.752], [0.000, 0.500, 0.243], [0.000, 0.500, 0.732], [0.500, 0.000, 0.243], [0.500, 0.000, 0.732], [0.500, 0.500, 0.501], [0.500, 0.500, 0.985]]}

=====

Question: What is the formula in the fourth record?
Answer: Sr7CaTi3Mn5O24